The following is a GGA-PBE calculation of BaCd2GeAu after structural relaxation, from OQMD via LeMat-Bulk.

E = -27.92 eV for the cell shown
Crystal system = tetragonal

abc: 4.674 4.674 11.879
angles: 90.00 90.00 90.00
Space group I4mm (No. 107)
Symmetry-distinct sites (fractional):
Ba (0.000, 0.000, 0.000) x2
Cd (0.000, 0.500, 0.245) x4
Ge (0.000, 0.000, 0.610) x2
Au (0.000, 0.000, 0.390) x2